CaFeHg, optimized geometry, DFT PBE; DFT total energy = -8.5 eV for the cell shown; SG = No. 216; formation enthalpy at 0 K = 0.764 eV/atom
1.0
4.904 0.000 0.000
2.452 4.247 0.000
2.452 1.416 4.004
Fe Ca Hg
1 1 1
Direct
0.000 0.000 0.000
0.750 0.750 0.750
0.500 0.500 0.500